Below is a relaxed structure of PrNd8Tl2, with properties calculated at the PBE-GGA level.

Computed properties:
E_form in kJ/mol of formula units: -36

Structure (CIF):
```
data_PrNd8Tl2
_cell_length_a 9.0442
_cell_length_b 15.5820
_cell_length_c 5.9511
_cell_angle_alpha 90.00
_cell_angle_beta 116.00
_cell_angle_gamma 90.00
_symmetry_space_group_name_H-M 'C 1 2/m 1'
_symmetry_Int_Tables_number 12
loop_
_symmetry_equiv_pos_as_xyz
'x,y,z'
'-x,-y,-z'
'-x,y,-z'
'x,-y,z'
'x+1/2,y+1/2,z'
'-x+1/2,-y+1/2,-z'
'-x+1/2,y+1/2,-z'
'x+1/2,-y+1/2,z'
loop_
_atom_site_label
_atom_site_fract_x
_atom_site_fract_y
_atom_site_fract_z
_atom_site_occupancy
Pr1 0.0000 0.0000 0.0000 1
Nd1 0.0000 0.2211 0.0000 1
Nd2 0.0920 0.5000 0.7954 1
Nd3 0.2067 0.1147 0.6207 1
Tl1 0.0000 0.3061 0.5000 1
```